a:
A relaxed structure of CsYI2O. Source: Alexandria, functional PBE.

```
5
Lattice="6.480 0.000 0.000 0.000 6.480 0.000 0.000 0.000 4.274" Properties=species:S:1:pos:R:3 pbc="T T T"
Cs 3.240 3.240 2.137
I 0.000 3.240 0.000
I 3.240 0.000 0.000
Y 0.000 0.000 0.000
O 0.000 0.000 2.137
```

The density of states at the Fermi level is 0.000 states/eV/atom.

b:
A relaxed structure of CsYI2O. Source: Alexandria, functional PBE.

```
5
Lattice="6.797 0.000 0.000 0.000 6.797 0.000 0.000 0.000 4.280" Properties=species:S:1:pos:R:3 pbc="T T T"
Cs 0.000 0.000 0.000
I 0.000 3.398 0.000
I 3.398 0.000 0.000
Y 3.398 3.398 2.140
O 0.000 0.000 2.140
```

The density of states at the Fermi level is 0.496 states/eV/atom.

Most stable to least stable, the ends of the list are a and b.

a:
A relaxed structure of CsYIO2. Source: Alexandria, functional PBE.

```
5
Lattice="-3.624 3.019 0.062 -2.960 -3.570 0.863 0.800 0.834 6.198" Properties=species:S:1:pos:R:3 pbc="T T T"
Cs -2.892 0.142 3.561
I 0.400 0.417 3.099
Y 0.000 0.000 0.000
O -1.480 -1.785 0.431
O -1.812 1.510 0.031
```

The density of states at the Fermi level is 0.216 states/eV/atom.

b:
A relaxed structure of CsYIO2. Source: Alexandria, functional PBE.

```
5
Lattice="4.638 0.000 0.000 0.000 4.638 0.000 0.000 0.000 6.463" Properties=species:S:1:pos:R:3 pbc="T T T"
Cs 0.000 0.000 0.000
I 0.000 0.000 3.231
Y 2.319 2.319 3.231
O 0.000 2.319 0.000
O 2.319 0.000 0.000
```

The density of states at the Fermi level is 0.779 states/eV/atom.

Most stable to least stable, the ends of the list are a and b.

a:
A relaxed structure of CsZrI2O. Source: Alexandria, functional PBE.

```
5
Lattice="6.291 0.000 0.000 0.000 6.291 0.000 0.000 0.000 4.120" Properties=species:S:1:pos:R:3 pbc="T T T"
Cs 3.146 3.146 2.060
I 0.000 3.146 0.000
I 3.146 0.000 0.000
O 0.000 0.000 2.060
Zr 0.000 0.000 0.000
```

The density of states at the Fermi level is 0.252 states/eV/atom.

b:
A relaxed structure of CsZrI2O. Source: Alexandria, functional PBE.

```
5
Lattice="6.708 0.000 0.000 0.000 6.708 0.000 0.000 0.000 4.311" Properties=species:S:1:pos:R:3 pbc="T T T"
Cs 0.000 0.000 0.000
I 0.000 3.354 0.000
I 3.354 0.000 0.000
O 0.000 0.000 2.156
Zr 3.354 3.354 2.156
```

The density of states at the Fermi level is 0.894 states/eV/atom.

Most stable to least stable, the ends of the list are a and b.

a:
A relaxed structure of CsOs2I. Source: Alexandria, functional PBE.

```
4
Lattice="0.000 3.495 3.495 3.495 0.000 3.495 3.495 3.495 0.000" Properties=species:S:1:pos:R:3 pbc="T T T"
Cs 3.495 3.495 3.495
I 0.000 0.000 0.000
Os 1.748 1.748 1.748
Os 5.243 5.243 5.243
```

The density of states at the Fermi level is 1.016 states/eV/atom.

b:
A relaxed structure of CsOs2I. Source: Alexandria, functional PBE.

```
8
Lattice="-3.727 -4.808 5.185 0.400 -5.995 -5.272 1.508 -6.390 1.320" Properties=species:S:1:pos:R:3 pbc="T T T"
Cs 0.000 0.000 0.000
Cs -1.942 -8.300 3.231
I -1.664 -5.402 -0.044
I 0.122 -8.893 -1.998
Os -1.521 -4.860 2.381
Os -0.220 -6.437 -1.787
Os -0.076 -9.457 0.418
Os -1.822 -13.632 1.453
```

The density of states at the Fermi level is 0.049 states/eV/atom.

Most stable to least stable, the ends of the list are b and a.

a:
A relaxed structure of CsTe2OsI. Source: Alexandria, functional PBE.

```
5
Lattice="6.445 0.000 0.000 0.000 6.445 0.000 0.000 0.000 7.290" Properties=species:S:1:pos:R:3 pbc="T T T"
Cs 0.000 0.000 0.000
I 0.000 0.000 3.645
Te 0.000 3.223 0.000
Te 3.223 0.000 0.000
Os 3.223 3.223 3.645
```

The density of states at the Fermi level is 1.921 states/eV/atom.

b:
A relaxed structure of CsTe2OsI. Source: Alexandria, functional PBE.

```
5
Lattice="-0.732 2.666 4.511 -5.157 -1.172 -0.144 1.071 -5.102 3.189" Properties=species:S:1:pos:R:3 pbc="T T T"
Cs -2.409 -1.804 3.778
I 0.535 -2.551 1.595
Te -2.579 -0.586 -0.072
Te -0.366 1.333 2.256
Os 0.000 0.000 0.000
```

The density of states at the Fermi level is 1.166 states/eV/atom.

Most stable to least stable, the ends of the list are b and a.

a:
A relaxed structure of Cs2PI2. Source: Alexandria, functional PBE.

```
5
Lattice="-4.756 5.031 -2.897 -1.018 -4.410 -5.987 -6.610 -1.904 -2.177" Properties=species:S:1:pos:R:3 pbc="T T T"
Cs -7.126 1.719 -4.758
Cs -5.257 -3.002 -6.303
I -4.443 -0.616 -3.495
I -7.940 -0.668 -7.566
P 0.000 0.000 0.000
```

The density of states at the Fermi level is 1.665 states/eV/atom.

b:
A relaxed structure of Cs2PI2. Source: Alexandria, functional PBE.

```
10
Lattice="-4.480 0.135 -7.340 4.692 -6.560 -2.985 -3.798 -3.740 2.249" Properties=species:S:1:pos:R:3 pbc="T T T"
Cs 0.480 -6.157 -1.986
Cs -0.885 -7.313 -6.213
Cs -4.066 -4.007 -6.089
Cs -2.701 -2.852 -1.862
I 2.415 -5.378 -4.864
I -0.543 -4.306 -8.077
I -2.203 -1.047 -5.461
I 0.755 -2.119 -2.248
P 0.000 0.000 0.000
P 0.106 -3.213 -5.162
```

The density of states at the Fermi level is 0.361 states/eV/atom.

Most stable to least stable, the ends of the list are a and b.